(1)
Below is a geometry-optimized Ca2Ga4Cu3Si structure, with properties calculated at the PBE level.

Computed properties:
- uncorrected energy (eV/atom) = -3.701
- space group = P-4m2
- E_form (uncorrected) (eV per atom) = -0.32

a = 4.098 Å, b = 4.098 Å, c = 10.728 Å
α = 90.00°, β = 90.00°, γ = 90.00°
Fractional positions:
Ca  0.000  0.500  0.248
Ca  0.500  0.000  0.752
Ga  0.000  0.000  0.000
Ga  0.000  0.500  0.640
Ga  0.500  0.000  0.360
Ga  0.500  0.500  0.000
Cu  0.000  0.500  0.866
Cu  0.500  0.000  0.134
Cu  0.500  0.500  0.500
Si  0.000  0.000  0.500



(2)
Below is a geometry-optimized CaGa2Cu4Si structure, with properties calculated at the PBE level.

Computed properties:
- uncorrected energy (eV/atom) = -3.854
- space group = R-3m
- E_form (uncorrected) (eV per atom) = -0.12

a = 9.206 Å, b = 9.206 Å, c = 9.206 Å
α = 25.90°, β = 25.90°, γ = 25.90°
Fractional positions:
Ca  0.000  0.000  0.000
Ga  0.254  0.254  0.254
Ga  0.746  0.746  0.746
Cu  0.133  0.133  0.133
Cu  0.412  0.412  0.412
Cu  0.588  0.588  0.588
Cu  0.867  0.867  0.867
Si  0.500  0.500  0.500



(3)
Below is a geometry-optimized CaGa2Cu2Si structure, with properties calculated at the PBE level.

Computed properties:
- uncorrected energy (eV/atom) = -3.643
- space group = P4/mmm
- E_form (uncorrected) (eV per atom) = -0.03

a = 4.504 Å, b = 4.504 Å, c = 5.746 Å
α = 90.00°, β = 90.00°, γ = 90.00°
Fractional positions:
Ca  0.000  0.000  0.000
Ga  0.500  0.500  0.236
Ga  0.500  0.500  0.764
Cu  0.000  0.500  0.500
Cu  0.500  0.000  0.500
Si  0.000  0.000  0.500